Density functional theory data (PBE) for a geometry-optimized Rb3NpO6 structure.

* size of the total moment: 4.2 μB/cell
* space-group type: P6_322, No. 182
* ΔE_f (raw): -1.81 eV per atom
* density of states at the Fermi level: 12.61 states/eV/cell

Lattice parameters (Å, degrees): 6.7800 6.7800 11.0273 90.00 90.00 120.00
Positions (direct):
Rb 0.0000 0.0000 0.0000
Rb 0.0000 0.0000 0.5000
Rb 0.3333 0.6667 0.0838
Rb 0.3333 0.6667 0.4162
Rb 0.6667 0.3333 0.5838
Rb 0.6667 0.3333 0.9162
Np 0.3333 0.6667 0.7500
Np 0.6667 0.3333 0.2500
O 0.1084 0.4290 0.6430
O 0.1084 0.6795 0.8570
O 0.3205 0.4290 0.8570
O 0.3205 0.8916 0.6430
O 0.4290 0.1084 0.3570
O 0.4290 0.3205 0.1430
O 0.5710 0.6795 0.6430
O 0.5710 0.8916 0.8570
O 0.6795 0.1084 0.1430
O 0.6795 0.5710 0.3570
O 0.8916 0.3205 0.3570
O 0.8916 0.5710 0.1430